[1]
# LaY2HgB (PBE-GGA, relaxed)
data_LaY2HgB
_chemical_formula_sum 'La1 Y2 Hg1 B1'
_cell_length_a 5.241
_cell_length_b 5.241
_cell_length_c 4.597
_cell_angle_alpha 90.00
_cell_angle_beta 90.00
_cell_angle_gamma 90.00
_symmetry_space_group_name_H-M 'P 4/m m m'
_symmetry_Int_Tables_number 123
_symmetry_space_group_name_Hall '-P 4 2'
loop_
_atom_site_label
_atom_site_type_symbol
_atom_site_fract_x
_atom_site_fract_y
_atom_site_fract_z
_atom_site_occupancy
La1 La 0.000 0.000 0.000 1
Y1 Y 0.000 0.500 0.500 1
Hg1 Hg 0.500 0.500 0.000 1
B1 B 0.500 0.500 0.500 1
# Energy   -4.836 eV/atom
# DOS(E_F)   1.09 states/eV/atom


[2]
# MgTa2Si (PBE-GGA, relaxed)
data_MgTa2Si
_chemical_formula_sum 'Mg4 Ta8 Si4'
_cell_length_a 6.474
_cell_length_b 6.474
_cell_length_c 6.474
_cell_angle_alpha 90.00
_cell_angle_beta 90.00
_cell_angle_gamma 90.00
_symmetry_space_group_name_H-M 'F -4 3 m'
_symmetry_Int_Tables_number 216
_symmetry_space_group_name_Hall 'F -4 2 3'
loop_
_atom_site_label
_atom_site_type_symbol
_atom_site_fract_x
_atom_site_fract_y
_atom_site_fract_z
_atom_site_occupancy
Mg1 Mg 0.000 0.000 0.000 1
Ta1 Ta 0.000 0.000 0.500 1
Ta2 Ta 0.250 0.250 0.250 1
Si1 Si 0.250 0.250 0.750 1
# Formation energy without anion corrections   253 meV/atom
# DOS(E_F)   0.54 states/eV/atom


[3]
# Ho7Bi2Sb2 (PBE-GGA, relaxed)
data_Ho7Bi2Sb2
_chemical_formula_sum 'Ho14 Bi4 Sb4'
_cell_length_a 9.307
_cell_length_b 10.872
_cell_length_c 6.985
_cell_angle_alpha 90.00
_cell_angle_beta 90.00
_cell_angle_gamma 90.00
_symmetry_space_group_name_H-M 'C m m m'
_symmetry_Int_Tables_number 65
_symmetry_space_group_name_Hall '-C 2 2'
loop_
_atom_site_label
_atom_site_type_symbol
_atom_site_fract_x
_atom_site_fract_y
_atom_site_fract_z
_atom_site_occupancy
Ho1 Ho 0.000 0.000 0.000 1
Ho2 Ho 0.000 0.500 0.259 1
Ho3 Ho 0.250 0.250 0.264 1
Bi1 Bi 0.194 0.000 0.500 1
Sb1 Sb 0.000 0.277 0.000 1
# Formation energy without anion corrections   -380 meV/atom
# DOS(E_F)   1.23 states/eV/atom


[4]
# Ta2FeMo (PBE-GGA, relaxed)
data_Ta2FeMo
_chemical_formula_sum 'Ta8 Fe4 Mo4'
_cell_length_a 6.294
_cell_length_b 6.294
_cell_length_c 6.294
_cell_angle_alpha 90.00
_cell_angle_beta 90.00
_cell_angle_gamma 90.00
_symmetry_space_group_name_H-M 'F m -3 m'
_symmetry_Int_Tables_number 225
_symmetry_space_group_name_Hall '-F 4 2 3'
loop_
_atom_site_label
_atom_site_type_symbol
_atom_site_fract_x
_atom_site_fract_y
_atom_site_fract_z
_atom_site_occupancy
Ta1 Ta 0.250 0.250 0.250 1
Fe1 Fe 0.000 0.000 0.000 1
Mo1 Mo 0.000 0.000 0.500 1
# Relative energy among the computed polymorphs   0 meV per atom
# DOS(E_F)   0.44 states/eV/atom